1.
This record from the Alexandria database describes an optimized crystal structure of TiNiSn2Sb. The functional is PBE.

Cell: 5.332 5.332 4.501 Å, 90.00 90.00 90.00°
Sites, in units of the cell vectors:
Ti  0.000  0.000  0.000
Ni  0.000  0.000  0.500
Sn  0.000  0.500  0.000
Sn  0.500  0.000  0.000
Sb  0.500  0.500  0.500

Summary:
Magnetic moment, μB per atom: 0.0000
Formation energy from raw total energies, eV per atom: 0.590



2.
This record from the Alexandria database describes an optimized crystal structure of SrYTl2. The functional is PBE.

Cell: 11.319 11.319 11.319 Å, 19.14 19.14 19.14°
Sites, in units of the cell vectors:
Sr  0.000  0.000  0.000
Y  0.762  0.762  0.762
Tl  0.247  0.247  0.247
Tl  0.505  0.505  0.505

Summary:
Magnetic moment, μB per atom: 0.1608
Energy relative to the elements, kJ/mol of formula units: 2



3.
This record from the Alexandria database describes an optimized crystal structure of Rb2CdSnS. The functional is PBE.

Cell: 7.092 7.092 4.827 Å, 90.00 90.00 90.00°
Sites, in units of the cell vectors:
Rb  0.000  0.500  0.000
Rb  0.500  0.000  0.000
Cd  0.000  0.000  0.000
Sn  0.500  0.500  0.500
S  0.000  0.000  0.500

Summary:
Magnetic moment, μB per atom: 0.4000
Formation energy from raw total energies, eV per atom: 0.030



4.
This record from the Alexandria database describes an optimized crystal structure of Ga2Co2Si. The functional is PBE.

Cell: 3.905 3.905 4.975 Å, 90.00 90.00 120.00°
Sites, in units of the cell vectors:
Ga  0.333  0.667  0.364
Ga  0.667  0.333  0.636
Co  0.333  0.667  0.865
Co  0.667  0.333  0.135
Si  0.000  0.000  0.000

Summary:
Magnetic moment, μB per atom: 0.0000
Formation energy from raw total energies, eV per atom: -0.382



5.
This record from the Alexandria database describes an optimized crystal structure of AcIn4Hg8. The functional is PBE.

Cell: 8.101 8.101 8.101 Å, 98.48 98.48 134.84°
Sites, in units of the cell vectors:
Ac  0.000  0.000  0.000
In  0.000  0.000  0.500
In  0.000  0.500  0.000
In  0.500  0.000  0.000
In  0.500  0.500  0.500
Hg  0.000  0.353  0.353
Hg  0.000  0.647  0.647
Hg  0.293  0.500  0.793
Hg  0.353  0.000  0.353
Hg  0.500  0.293  0.793
Hg  0.500  0.707  0.207
Hg  0.647  0.000  0.647
Hg  0.707  0.500  0.207

Summary:
Magnetic moment, μB per atom: 0.0000
Energy relative to the elements, kJ/mol of formula units: -92



6.
This record from the Alexandria database describes an optimized crystal structure of NdNi4Sn2. The functional is PBE.

Cell: 7.771 7.771 3.980 Å, 90.00 90.00 90.00°
Sites, in units of the cell vectors:
Nd  0.000  0.000  0.000
Nd  0.500  0.500  0.500
Ni  0.085  0.364  0.500
Ni  0.136  0.585  0.000
Ni  0.364  0.085  0.500
Ni  0.415  0.864  0.000
Ni  0.585  0.136  0.000
Ni  0.636  0.915  0.500
Ni  0.864  0.415  0.000
Ni  0.915  0.636  0.500
Sn  0.221  0.779  0.500
Sn  0.279  0.279  0.000
Sn  0.721  0.721  0.000
Sn  0.779  0.221  0.500

Summary:
Magnetic moment, μB per atom: 0.0010
Energy relative to the elements, kJ/mol of formula units: -190



7.
This record from the Alexandria database describes an optimized crystal structure of SrCaH2. The functional is PBE.

Cell: 7.084 7.084 7.084 Å, 31.87 31.87 31.87°
Sites, in units of the cell vectors:
Sr  0.000  0.000  0.000
Ca  0.809  0.809  0.809
H  0.124  0.124  0.124
H  0.396  0.396  0.396

Summary:
Magnetic moment, μB per atom: 0.0514



8.
This record from the Alexandria database describes an optimized crystal structure of K3La. The functional is PBE.

Cell: 6.945 6.945 6.945 Å, 60.00 60.00 60.00°
Sites, in units of the cell vectors:
K  0.000  0.000  0.000
K  0.250  0.250  0.250
K  0.750  0.750  0.750
La  0.500  0.500  0.500

Summary:
Magnetic moment, μB per atom: 0.4797
Energy relative to the elements, kJ/mol of formula units: 210



no.,DOS(E_F) (states/eV/atom),E (eV/atom)
1,0.709,-4.571
2,1.007,-3.215
3,0.176,-2.166
4,0.697,-5.519
5,0.379,-1.418
6,1.236,-5.410
7,0.252,-2.874
8,2.477,-1.511